Computed, not measured: crystalline Mg2AlP at its relaxed geometry at the PBE level of DFT.

Summary:
The calculation puts the formation energy at -0.060 eV per atom.

```
Mg2AlP
1.0
-1.905 2.262 4.237
1.905 -2.262 4.237
1.905 2.262 -4.237
Mg Al P
2 1 1
Cartesian
0.000 0.000 1.951
0.000 0.000 6.522
0.000 2.262 0.000
1.905 0.000 0.000
```

=====

Computed, not measured: crystalline MgAlP2 at its relaxed geometry at the PBE level of DFT.

Summary:
The calculation puts the formation energy at 0.269 eV per atom.

```
MgAlP2
1.0
1.511 0.873 9.507
-1.511 0.873 9.507
0.000 -1.745 9.507
Mg Al P
1 1 2
Cartesian
0.000 0.000 0.000
0.000 0.000 7.080
0.000 0.000 14.774
0.000 0.000 20.949
```

=====

Computed, not measured: crystalline Mg2AlP at its relaxed geometry at the PBE level of DFT.

Summary:
The calculation puts the formation energy at -0.244 eV per atom.

```
Mg2AlP
1.0
6.572 0.000 0.000
0.000 3.954 0.000
-3.097 0.000 6.017
Mg Al P
4 2 2
Cartesian
0.000 0.000 0.000
-1.233 0.000 3.510
1.089 1.977 2.042
3.324 0.000 0.976
1.225 1.977 5.001
2.210 0.000 3.590
-1.142 1.977 5.536
5.201 1.977 1.357
```

=====

Computed, not measured: crystalline Mg4AlP at its relaxed geometry at the PBE level of DFT.

Summary:
The calculation puts the formation energy at 0.293 eV per atom.

```
Mg4AlP
1.0
0.000 3.978 3.978
3.978 0.000 3.978
3.978 3.978 0.000
Mg Al P
4 1 1
Cartesian
0.993 0.993 0.993
2.986 2.986 0.993
2.986 0.993 2.986
0.993 2.986 2.986
3.978 3.978 3.978
5.968 5.968 5.968
```

=====

Computed, not measured: crystalline MgAlP2 at its relaxed geometry at the PBE level of DFT.

Summary:
The calculation puts the formation energy at -0.009 eV per atom.

```
MgAlP2
1.0
3.362 0.000 0.000
0.000 3.362 0.000
0.000 0.000 5.759
Mg Al P
1 1 2
Cartesian
0.000 0.000 0.000
0.000 0.000 2.880
1.681 1.681 1.613
1.681 1.681 4.147
```

=====

Computed, not measured: crystalline Mg2AlP at its relaxed geometry at the PBE level of DFT.

Summary:
The calculation puts the formation energy at -0.199 eV per atom.

```
Mg2AlP
1.0
6.287 0.000 0.000
0.000 3.965 0.000
-0.119 0.000 6.951
Mg Al P
4 2 2
Cartesian
-0.015 0.991 1.793
3.103 0.991 1.177
3.065 2.973 5.774
6.183 2.973 5.158
2.111 0.991 3.676
4.057 2.973 3.276
1.401 0.991 6.050
4.767 2.973 0.901
```